Density functional theory data (PBE) for Pr2HoTl2 after structural relaxation.

abc: 5.128 6.701 9.293
angles: 90.00 106.02 90.00
Atoms (fractional coordinates):
Pr1 0.992 0.809 0.984
Pr2 0.799 0.351 0.597
Pr3 0.201 0.851 0.403
Pr4 0.008 0.309 0.016
Ho1 0.391 0.071 0.781
Ho2 0.609 0.571 0.219
Tl1 0.409 0.560 0.818
Tl2 0.807 0.844 0.614
Tl3 0.193 0.344 0.386
Tl4 0.591 0.060 0.182

Calculated values
**Distance to the lowest polymorph of the same formula**: 74.0 meV/atom
**M_tot**: 0.0000 μB per atom
**Formation enthalpy at 0 K**: -0.24 eV per atom
**Raw total energy**: -4.015 eV per atom
**DOS at the Fermi energy**: 12.1 states/eV/cell



Density functional theory data (PBE) for LiCoMoRu after structural relaxation.

abc: 4.180 4.180 4.180
angles: 60.00 60.00 60.00
Atoms (fractional coordinates):
Ru1 0.750 0.750 0.750
Mo1 0.000 0.000 0.000
Co1 0.250 0.250 0.250
Li1 0.500 0.500 0.500

Calculated values
**M_tot**: 0.0000 μB per atom
**Formation enthalpy at 0 K**: 0.06 eV per atom
**Raw total energy**: -7.218 eV per atom
**DOS at the Fermi energy**: 1.8 states/eV/cell



Density functional theory data (PBE) for Ba2LaRu after structural relaxation.

abc: 4.393 8.391 8.391
angles: 36.52 90.00 90.00
Atoms (fractional coordinates):
Ba1 0.000 0.893 0.893
Ba2 0.000 0.607 0.607
La1 0.500 0.250 0.250
Ru1 0.500 0.750 0.750

Calculated values
**Distance to the lowest polymorph of the same formula**: 59.1 meV/atom
**M_tot**: 0.0002 μB per atom
**Formation enthalpy at 0 K**: 0.12 eV per atom
**Raw total energy**: -4.392 eV per atom
**DOS at the Fermi energy**: 5.5 states/eV/cell



Density functional theory data (PBE) for Sm2VN after structural relaxation.

abc: 3.421 3.421 9.059
angles: 79.11 79.11 60.00
Atoms (fractional coordinates):
N1 0.500 0.500 0.500
Sm1 0.113 0.113 0.660
Sm2 0.887 0.887 0.340
V1 0.000 0.000 0.000

Calculated values
**M_tot**: 0.6877 μB per atom
**Raw total energy**: -6.818 eV per atom
**DOS at the Fermi energy**: 6.1 states/eV/cell



Density functional theory data (PBE) for Cs2ErNp2Se6 after structural relaxation.

abc: 7.263 7.263 8.899
angles: 97.75 97.75 119.99
Atoms (fractional coordinates):
Cs1 0.834 0.166 0.000
Cs2 0.166 0.834 0.000
Er1 0.000 0.000 0.500
Np1 0.334 0.666 0.500
Np2 0.666 0.334 0.500
Se1 0.727 0.727 0.681
Se2 0.060 0.393 0.681
Se3 0.273 0.273 0.319
Se4 0.393 0.060 0.681
Se5 0.940 0.607 0.319
Se6 0.607 0.940 0.319

Calculated values
**M_tot**: 0.6364 μB per atom
**Raw total energy**: -6.233 eV per atom
**DOS at the Fermi energy**: 19.7 states/eV/cell



Density functional theory data (PBE) for BaRh2Cl after structural relaxation.

abc: 5.968 5.968 5.968
angles: 44.62 44.62 44.62
Atoms (fractional coordinates):
Ba1 0.250 0.250 0.250
Cl1 0.750 0.750 0.750
Rh1 0.063 0.063 0.063
Rh2 0.437 0.437 0.437

Calculated values
**Distance to the lowest polymorph of the same formula**: 281.2 meV/atom
**M_tot**: 0.0772 μB per atom
**Raw total energy**: -4.651 eV per atom
**DOS at the Fermi energy**: 3.2 states/eV/cell



Density functional theory data (PBE) for Tb8Sm6Al after structural relaxation.

abc: 6.302 9.436 9.436
angles: 120.00 90.00 90.00
Atoms (fractional coordinates):
Tb1 0.803 0.041 0.259
Tb2 0.803 0.741 0.782
Tb3 0.803 0.218 0.959
Tb4 0.197 0.959 0.741
Tb5 0.197 0.259 0.218
Tb6 0.197 0.782 0.041
Tb7 0.820 0.333 0.667
Tb8 0.180 0.667 0.333
Sm1 0.687 0.638 0.092
Sm2 0.687 0.908 0.546
Sm3 0.687 0.454 0.362
Sm4 0.313 0.362 0.908
Sm5 0.313 0.092 0.454
Sm6 0.313 0.546 0.638
Al1 0.500 0.000 0.000

Calculated values
**M_tot**: 0.0000 μB per atom
**Formation enthalpy at 0 K**: 0.08 eV per atom
**Raw total energy**: -4.524 eV per atom
**DOS at the Fermi energy**: 18.5 states/eV/cell



Density functional theory data (PBE) for SbOs2Br after structural relaxation.

abc: 2.987 5.344 4.490
angles: 90.00 90.00 90.00
Atoms (fractional coordinates):
Sb1 0.500 0.000 0.500
Os1 0.000 0.000 0.000
Os2 0.500 0.500 0.000
Br1 0.000 0.500 0.500

Calculated values
**Distance to the lowest polymorph of the same formula**: 830.6 meV/atom
**M_tot**: 0.0000 μB per atom
**Raw total energy**: -5.807 eV per atom
**DOS at the Fermi energy**: 3.1 states/eV/cell



Density functional theory data (PBE) for PuGa2Au9 after structural relaxation.

abc: 7.200 8.825 8.825
angles: 80.42 65.93 65.93
Atoms (fractional coordinates):
Pu1 0.500 0.000 0.000
Pu2 0.250 0.500 0.500
Ga1 0.875 0.250 0.750
Ga2 0.875 0.750 0.250
Ga3 0.875 0.250 0.250
Ga4 0.375 0.750 0.750
Au1 0.750 0.500 0.500
Au2 0.000 0.000 0.000
Au3 0.982 0.933 0.689
Au4 0.604 0.067 0.311
Au5 0.665 0.189 0.567
Au6 0.421 0.811 0.433
Au7 0.768 0.811 0.567
Au8 0.146 0.189 0.433
Au9 0.085 0.933 0.311
Au10 0.329 0.067 0.689
Au11 0.768 0.567 0.811
Au12 0.146 0.433 0.189
Au13 0.085 0.311 0.933
Au14 0.329 0.689 0.067
Au15 0.982 0.689 0.933
Au16 0.604 0.311 0.067
Au17 0.665 0.567 0.189
Au18 0.421 0.433 0.811

Calculated values
**M_tot**: 0.4737 μB per atom
**Formation enthalpy at 0 K**: -0.17 eV per atom
**Raw total energy**: -4.322 eV per atom
**DOS at the Fermi energy**: 40.0 states/eV/cell



Density functional theory data (PBE) for SmP2PbO8 after structural relaxation.

abc: 5.467 5.467 7.488
angles: 90.00 90.00 120.00
Atoms (fractional coordinates):
Sm1 0.000 0.000 0.500
P1 0.667 0.333 0.222
P2 0.333 0.667 0.778
Pb1 0.000 0.000 0.000
O1 0.333 0.667 0.985
O2 0.358 0.180 0.291
O3 0.820 0.179 0.291
O4 0.667 0.333 0.015
O5 0.180 0.821 0.709
O6 0.642 0.820 0.709
O7 0.179 0.358 0.709
O8 0.821 0.642 0.291

Calculated values
**M_tot**: 0.0871 μB per atom
**Raw total energy**: -7.173 eV per atom
**DOS at the Fermi energy**: 9.3 states/eV/cell



Density functional theory data (PBE) for ScSe3S after structural relaxation.

abc: 5.143 5.143 5.143
angles: 90.00 90.00 90.00
Atoms (fractional coordinates):
Sc1 0.000 0.000 0.000
S1 0.500 0.500 0.500
Se1 0.000 0.500 0.000
Se2 0.000 0.000 0.500
Se3 0.500 0.000 0.000

Calculated values
**Distance to the lowest polymorph of the same formula**: 168.0 meV/atom
**M_tot**: 0.3582 μB per atom
**Raw total energy**: -4.073 eV per atom
**DOS at the Fermi energy**: 7.9 states/eV/cell



Density functional theory data (PBE) for Ta2SiCl after structural relaxation.

abc: 5.435 5.435 5.435
angles: 150.09 115.73 72.48
Atoms (fractional coordinates):
Cl1 0.750 0.250 0.500
Si1 0.250 0.750 0.500
Ta1 0.994 0.994 0.000
Ta2 0.506 0.506 0.000

Calculated values
**Distance to the lowest polymorph of the same formula**: 332.2 meV/atom
**M_tot**: 0.0000 μB per atom
**Raw total energy**: -7.503 eV per atom
**DOS at the Fermi energy**: 3.9 states/eV/cell



Density functional theory data (PBE) for Pm2Si4TcPt3 after structural relaxation.

abc: 4.235 4.235 9.895
angles: 90.00 90.00 90.00
Atoms (fractional coordinates):
Pm1 0.500 0.000 0.244
Pm2 0.000 0.500 0.756
Si1 0.500 0.500 0.000
Si2 0.000 0.000 0.000
Si3 0.500 0.000 0.626
Si4 0.000 0.500 0.374
Tc1 0.500 0.500 0.500
Pt1 0.000 0.000 0.500
Pt2 0.500 0.000 0.876
Pt3 0.000 0.500 0.124

Calculated values
**M_tot**: 0.0000 μB per atom
**Raw total energy**: -7.009 eV per atom
**DOS at the Fermi energy**: 6.1 states/eV/cell



Density functional theory data (PBE) for CeMgOs after structural relaxation.

abc: 3.823 3.922 9.379
angles: 90.01 78.25 90.00
Atoms (fractional coordinates):
Ce1 0.706 0.906 0.136
Ce2 0.534 0.407 0.481
Mg1 0.914 0.907 0.720
Mg2 0.327 0.406 0.897
Os1 0.175 0.406 0.199
Os2 0.065 0.907 0.419

Calculated values
**M_tot**: 0.0000 μB per atom
**Formation enthalpy at 0 K**: -0.13 eV per atom
**Raw total energy**: -6.384 eV per atom
**DOS at the Fermi energy**: 4.3 states/eV/cell



Density functional theory data (PBE) for YZn2SiAu4 after structural relaxation.

abc: 4.432 4.432 9.147
angles: 75.98 75.98 60.00
Atoms (fractional coordinates):
Y1 0.000 0.000 0.000
Zn1 0.746 0.746 0.761
Zn2 0.254 0.254 0.239
Si1 0.500 0.500 0.500
Au1 0.397 0.397 0.809
Au2 0.869 0.869 0.394
Au3 0.131 0.131 0.606
Au4 0.603 0.603 0.191

Calculated values
**M_tot**: 0.0000 μB per atom
**Raw total energy**: -3.763 eV per atom
**DOS at the Fermi energy**: 2.3 states/eV/cell



Density functional theory data (PBE) for K2Tl4BiAu3 after structural relaxation.

abc: 4.959 4.959 12.524
angles: 90.00 90.00 90.00
Atoms (fractional coordinates):
K1 0.500 0.000 0.247
K2 0.000 0.500 0.753
Tl1 0.500 0.500 0.000
Tl2 0.000 0.000 0.000
Tl3 0.500 0.000 0.646
Tl4 0.000 0.500 0.354
Bi1 0.500 0.500 0.500
Au1 0.000 0.000 0.500
Au2 0.500 0.000 0.872
Au3 0.000 0.500 0.128

Calculated values
**M_tot**: 0.0000 μB per atom
**Formation enthalpy at 0 K**: -0.15 eV per atom
**Raw total energy**: -2.688 eV per atom
**DOS at the Fermi energy**: 3.9 states/eV/cell



Density functional theory data (PBE) for PaNiRh2 after structural relaxation.

abc: 4.541 4.541 4.541
angles: 60.00 60.00 60.00
Atoms (fractional coordinates):
Ni1 0.500 0.500 0.500
Pa1 0.000 0.000 0.000
Rh1 0.250 0.250 0.250
Rh2 0.750 0.750 0.750

Calculated values
**Distance to the lowest polymorph of the same formula**: 280.5 meV/atom
**M_tot**: 0.0000 μB per atom
**Formation enthalpy at 0 K**: -0.53 eV per atom
**Raw total energy**: -8.022 eV per atom
**DOS at the Fermi energy**: 3.8 states/eV/cell



Density functional theory data (PBE) for AcLaPrO after structural relaxation.

abc: 4.271 4.271 15.297
angles: 90.00 90.00 90.00
Atoms (fractional coordinates):
Ac1 0.750 0.750 0.282
Ac2 0.250 0.250 0.718
La1 0.250 0.750 0.500
La2 0.750 0.250 0.500
Pr1 0.750 0.750 0.930
Pr2 0.250 0.250 0.070
O1 0.750 0.250 0.000
O2 0.250 0.750 0.000

Calculated values
**M_tot**: 0.1076 μB per atom
**Raw total energy**: -5.743 eV per atom
**DOS at the Fermi energy**: 12.3 states/eV/cell



Density functional theory data (PBE) for CdIn2Te after structural relaxation.

abc: 5.515 5.515 5.515
angles: 60.00 60.00 60.00
Atoms (fractional coordinates):
Cd1 0.000 0.000 0.000
Te1 0.500 0.500 0.500
In1 0.250 0.250 0.250
In2 0.750 0.750 0.750

Calculated values
**Distance to the lowest polymorph of the same formula**: 114.7 meV/atom
**M_tot**: 0.0000 μB per atom
**Raw total energy**: -2.389 eV per atom
**DOS at the Fermi energy**: 1.0 states/eV/cell



Density functional theory data (PBE) for YIn2Mo after structural relaxation.

abc: 3.752 3.752 6.454
angles: 90.00 90.00 90.00
Atoms (fractional coordinates):
In1 0.000 0.000 0.020
In2 0.500 0.500 0.267
Mo1 0.000 0.000 0.486
Y1 0.500 0.500 0.726

Calculated values
**Distance to the lowest polymorph of the same formula**: 180.0 meV/atom
**M_tot**: 0.0001 μB per atom
**Formation enthalpy at 0 K**: 0.19 eV per atom
**Raw total energy**: -5.507 eV per atom
**DOS at the Fermi energy**: 3.9 states/eV/cell



Density functional theory data (PBE) for VGaSi2Ge after structural relaxation.

abc: 4.599 4.805 4.599
angles: 90.00 90.00 90.00
Atoms (fractional coordinates):
Ge1 0.500 0.500 0.500
Si1 0.000 0.000 0.500
Si2 0.500 0.000 0.000
Ga1 0.000 0.500 0.000
V1 0.000 0.000 0.000

Calculated values
**M_tot**: 0.0000 μB per atom
**Raw total energy**: -4.957 eV per atom
**DOS at the Fermi energy**: 3.3 states/eV/cell



Density functional theory data (PBE) for Ac2U2S7 after structural relaxation.

abc: 6.695 6.731 6.695
angles: 90.00 97.13 90.00
Atoms (fractional coordinates):
Ac1 0.748 0.500 0.748
Ac2 0.252 0.500 0.252
U1 0.731 0.000 0.269
U2 0.269 0.000 0.731
S1 0.000 0.247 0.500
S2 0.500 0.753 0.000
S3 0.000 0.753 0.500
S4 0.500 0.247 0.000
S5 0.000 0.000 0.000
S6 0.500 0.770 0.500
S7 0.500 0.230 0.500

Calculated values
**Distance to the lowest polymorph of the same formula**: 102.0 meV/atom
**M_tot**: 0.3639 μB per atom
**Raw total energy**: -7.046 eV per atom
**DOS at the Fermi energy**: 13.1 states/eV/cell



Density functional theory data (PBE) for SnAsOs3 after structural relaxation.

abc: 4.566 4.566 4.566
angles: 90.00 90.00 90.00
Atoms (fractional coordinates):
As1 0.000 0.000 0.000
Os1 0.000 0.500 0.000
Os2 0.000 0.000 0.500
Os3 0.500 0.000 0.000
Sn1 0.500 0.500 0.500

Calculated values
**Distance to the lowest polymorph of the same formula**: 0.0 meV/atom
**M_tot**: 0.0000 μB per atom
**Formation enthalpy at 0 K**: 1.48 eV per atom
**Raw total energy**: -6.991 eV per atom
**DOS at the Fermi energy**: 5.3 states/eV/cell



Density functional theory data (PBE) for Ni2Ir2Ru after structural relaxation.

abc: 2.684 2.684 10.603
angles: 90.00 90.00 120.00
Atoms (fractional coordinates):
Ni1 0.333 0.667 0.907
Ni2 0.667 0.333 0.093
Ir1 0.667 0.333 0.708
Ir2 0.333 0.667 0.292
Ru1 0.000 0.000 0.500

Calculated values
**Distance to the lowest polymorph of the same formula**: 19.9 meV/atom
**M_tot**: 0.2244 μB per atom
**Formation enthalpy at 0 K**: 0.04 eV per atom
**Raw total energy**: -7.677 eV per atom
**DOS at the Fermi energy**: 7.4 states/eV/cell



Density functional theory data (PBE) for Pr12HoTl3 after structural relaxation.

abc: 5.042 5.042 20.562
angles: 90.00 90.00 90.00
Atoms (fractional coordinates):
Pr1 0.500 0.500 0.000
Pr2 0.500 0.500 0.254
Pr3 0.500 0.500 0.500
Pr4 0.500 0.500 0.746
Pr5 0.500 0.000 0.130
Pr6 0.500 0.000 0.377
Pr7 0.500 0.000 0.623
Pr8 0.500 0.000 0.870
Pr9 0.000 0.500 0.130
Pr10 0.000 0.500 0.377
Pr11 0.000 0.500 0.623
Pr12 0.000 0.500 0.870
Ho1 0.000 0.000 0.000
Tl1 0.000 0.000 0.256
Tl2 0.000 0.000 0.500
Tl3 0.000 0.000 0.744

Calculated values
**M_tot**: 0.0000 μB per atom
**Formation enthalpy at 0 K**: -0.15 eV per atom
**Raw total energy**: -4.463 eV per atom
**DOS at the Fermi energy**: 22.6 states/eV/cell